No. 1
Density functional theory data (PBE) for an optimized crystal structure of PrHgSb.

Structure (extended XYZ):
```
3
Lattice="-1.280 2.590 4.327 -0.131 5.201 -0.024 -4.560 2.489 0.290" Properties=species:S:1:pos:R:3 pbc="T T T"
Hg -2.985 5.140 2.297
Pr 0.000 0.000 0.000
Sb -1.493 2.570 1.148
```

Properties
Total magnetization, μB per cell: 0.0
Uncorrected energy, eV/atom: -3.404

No. 2
Density functional theory data (PBE) for an optimized crystal structure of PrScHg.

Structure (extended XYZ):
```
3
Lattice="0.000 3.578 3.578 3.578 0.000 3.578 3.578 3.578 0.000" Properties=species:S:1:pos:R:3 pbc="T T T"
Hg 0.000 0.000 0.000
Sc 5.366 5.366 5.366
Pr 1.789 1.789 1.789
```

Properties
Total magnetization, μB per cell: 0.2
Uncorrected energy, eV/atom: -3.852
E above lowest polymorph, eV/atom: 0.000
ΔH_f (0 K), eV per formula unit: -0.16

No. 3
Density functional theory data (PBE) for an optimized crystal structure of PrScHg6.

Structure (extended XYZ):
```
8
Lattice="6.612 0.000 0.000 -3.306 5.727 0.000 0.000 0.000 4.984" Properties=species:S:1:pos:R:3 pbc="T T T"
Pr 0.000 0.000 0.000
Hg 4.900 0.989 2.492
Hg 1.599 2.894 0.000
Hg 0.000 5.665 0.000
Hg 3.306 3.749 2.492
Sc 0.000 3.818 2.492
Hg -1.599 2.894 0.000
Hg 1.712 0.989 2.492
```

Properties
Total magnetization, μB per cell: 0.0
Uncorrected energy, eV/atom: -1.903
ΔH_f (0 K), eV per formula unit: -2.34

No. 4
Density functional theory data (PBE) for an optimized crystal structure of PrTlHgSe3.

Structure (extended XYZ):
```
12
Lattice="9.095 -2.159 0.000 9.095 2.159 0.000 -2.426 0.000 9.013" Properties=species:S:1:pos:R:3 pbc="T T T"
Se 11.125 0.000 3.352
Se -1.213 0.000 4.507
Pr 1.720 0.000 5.395
Pr 14.044 0.000 3.618
Se 9.095 0.000 0.000
Hg 7.696 0.000 6.482
Tl 13.489 0.000 8.299
Se 10.314 0.000 7.368
Hg 8.068 0.000 2.531
Tl 2.275 0.000 0.714
Se 4.638 0.000 5.662
Se 5.450 0.000 1.645
```

Properties
Total magnetization, μB per cell: 0.0
Uncorrected energy, eV/atom: -3.861
E above lowest polymorph, eV/atom: 0.066